Entry 1:
Pd2Pb8Au | PBE | relaxed

- Formation energy from the elements: -1.157 eV/f.u.
- Electronic total energy: -44.49 eV per cell

Unit cell a=4.5083 b=7.6851 c=9.0907 alpha=103.94 beta=104.36 gamma=90.00
Last column: nearest neighbours and their distance in Å.
Sites, in units of the cell vectors:
Pb 0.2042 0.3319 0.4084  3 Pd 3.03-3.07, 3 Pb 3.38
Pb 0.3306 0.0306 0.6612  3 Pd 3.00-3.03, 1 Au 3.05
Pb 0.7958 0.6681 0.5916  3 Pd 3.03-3.07, 3 Pb 3.38
Pb 0.9748 0.2290 0.9496  2 Au 2.96, 1 Pd 2.99
Pb 0.5992 0.5035 0.1983  2 Pd 3.00
Pb 0.6694 0.9694 0.3388  3 Pd 3.00-3.03, 1 Au 3.05
Pb 0.4008 0.4965 0.8017  2 Pd 3.00
Pb 0.0252 0.7710 0.0504  2 Au 2.96, 1 Pd 2.99
Pd 0.1884 0.7204 0.3767  9 Pb 2.99-3.07
Pd 0.8116 0.2796 0.6233  9 Pb 2.99-3.07
Au 0.5000 0.0000 0.0000  6 Pb 2.96-3.05

***

Entry 2:
Li2NiRu | PBE | relaxed

- Formation energy from the elements: 0.300 eV/f.u.
- Electronic total energy: -18.59 eV per cell

Unit cell a=8.8730 b=8.8730 c=8.8730 alpha=16.84 beta=16.84 gamma=16.84
Last column: nearest neighbours and their distance in Å.
Sites, in units of the cell vectors:
Li 0.5031 0.5031 0.5031  3 Ni 2.58, 6 Li 2.60, 3 Ru 2.72
Li 0.9969 0.9969 0.9969  3 Ni 2.58, 6 Li 2.60, 3 Ru 2.72
Ni 0.2500 0.2500 0.2500  6 Li 2.58, 6 Ni 2.60
Ru 0.7500 0.7500 0.7500  6 Ru 2.60, 6 Li 2.72

***

Entry 3:
Al2IrSe | PBE | relaxed

- Electronic total energy: -20.64 eV per cell
- Formation energy without anion corrections: -79 kJ/mol of formula units

Unit cell a=4.6239 b=4.6239 c=3.0197 alpha=89.99 beta=89.99 gamma=104.64
Last column: nearest neighbours and their distance in Å.
Sites, in units of the cell vectors:
Ir 0.5000 0.0000 0.5000  8 Al 2.76, 2 Se 2.83, 2 Ir 3.02
Se 0.0000 0.5000 0.5000  8 Al 2.76, 2 Ir 2.83, 2 Se 3.02
Al 0.0000 0.0000 0.0000  4 Ir 2.76, 4 Se 2.76, 4 Al 2.83-3.02
Al 0.5000 0.5000 0.0000  4 Se 2.76, 4 Ir 2.76, 4 Al 2.83-3.02

***

Entry 4:
Ca2RuI | PBE | relaxed

- Electronic total energy: -14.71 eV per cell
- Formation energy without anion corrections: 11 kJ/mol of formula units

Unit cell a=5.2476 b=5.2476 c=5.2476 alpha=60.00 beta=60.00 gamma=60.00
Last column: nearest neighbours and their distance in Å.
Sites, in units of the cell vectors:
I 0.5000 0.5000 0.5000  8 Ca 3.21
Ru 0.0000 0.0000 0.0000  8 Ca 3.21
Ca 0.7500 0.7500 0.7500  4 I 3.21, 4 Ru 3.21
Ca 0.2500 0.2500 0.2500  4 Ru 3.21, 4 I 3.21

***

The highest electronic total energy belongs to which entry?
Ca2RuI